(A)
VASP calculation (PBE) on crystalline Mo2I2N at its relaxed geometry.

a = 5.924 Å, b = 5.924 Å, c = 5.535 Å
α = 90.00°, β = 90.00°, γ = 90.00°
Element x y z (fractional)
I1 0.186 0.686 0.500
I2 0.814 0.314 0.500
I3 0.314 0.186 0.500
I4 0.686 0.814 0.500
Mo1 0.201 0.701 0.000
Mo2 0.701 0.799 0.000
Mo3 0.799 0.299 0.000
Mo4 0.299 0.201 0.000
N1 0.000 0.000 0.000
N2 0.500 0.500 0.000

Calculated values
Fermi-level density of states in states/eV/f.u.: 3.740
V in Å³/f.u.: 97.1

***

(B)
VASP calculation (PBE) on crystalline Mo2I2N at its relaxed geometry.

a = 5.452 Å, b = 5.452 Å, c = 6.402 Å
α = 64.80°, β = 64.80°, γ = 90.00°
Element x y z (fractional)
I1 0.250 0.750 0.500
I2 0.750 0.250 0.500
N1 0.000 0.000 0.000
Mo1 0.177 0.177 0.646
Mo2 0.823 0.823 0.354

Calculated values
Fermi-level density of states in states/eV/f.u.: 4.362
V in Å³/f.u.: 151.9

***

Which structure loses on stability? (B) does.